A relaxed structure of Ba3In3Pd2. Source: Alexandria via LeMat-Bulk, functional PBE.

a b c (Å): 4.6300 6.5947 17.8253
angles (deg): 90.00 90.00 110.55
Sites, in units of the cell vectors:
Ba 0.9487 0.8975 0.3952
Ba 0.0513 0.1025 0.8952
Ba 0.9487 0.8975 0.1048
Ba 0.0513 0.1025 0.6048
Ba 0.6568 0.3136 0.2500
Ba 0.3432 0.6864 0.7500
In 0.6709 0.3418 0.4639
In 0.3291 0.6582 0.9639
In 0.6709 0.3418 0.0361
In 0.3291 0.6582 0.5361
In 0.3609 0.7218 0.2500
In 0.6391 0.2782 0.7500
Pd 0.7603 0.5207 0.8871
Pd 0.2397 0.4793 0.3871
Pd 0.7603 0.5207 0.6129
Pd 0.2397 0.4793 0.1129

Formation energy from the elements, kcal/mol of atoms: -12.25
N(E_F), states/eV per cell: 12.0
Space group: No. 63
Theoretical density, g/cm3: 6.3
Relative energy among the computed polymorphs, meV/atom: 0